Record 1
Entry from the Alexandria database: a geometry-optimized Pm3HPb structure (PBE).

Output
- Excess energy over the best structure of this formula in the dataset: 0.0 kJ per mole of atoms
- Symmetry: Pm-3m (221)
- Crystal system: cubic

Cell lengths 4.972, 4.972, 4.972 Å; angles 90.00, 90.00, 90.00 degrees
Fractional positions:
Pb  0.500  0.500  0.500
Pm  0.500  0.000  0.000
Pm  0.000  0.000  0.500
Pm  0.000  0.500  0.000
H  0.000  0.000  0.000

Record 2
Entry from the Alexandria database: a geometry-optimized Pm3HPb structure (PBE).

Output
- Excess energy over the best structure of this formula in the dataset: 0.3 kJ per mole of atoms
- Symmetry: P2_1/c (14)
- Crystal system: monoclinic

Cell lengths 6.759, 6.513, 11.864 Å; angles 95.17, 90.00, 90.00 degrees
Fractional positions:
Pb  0.683  0.598  0.661
Pb  0.817  0.598  0.161
Pb  0.183  0.402  0.839
Pb  0.317  0.402  0.339
H  0.824  0.102  0.019
H  0.176  0.898  0.981
H  0.324  0.898  0.481
H  0.676  0.102  0.519
Pm  0.626  0.111  0.176
Pm  0.126  0.889  0.324
Pm  0.656  0.325  0.914
Pm  0.156  0.675  0.586
Pm  0.874  0.795  0.910
Pm  0.844  0.325  0.414
Pm  0.874  0.111  0.676
Pm  0.374  0.889  0.824
Pm  0.344  0.675  0.086
Pm  0.374  0.205  0.590
Pm  0.626  0.795  0.410
Pm  0.126  0.205  0.090

Record 3
Entry from the Alexandria database: a geometry-optimized Pm12HPb6 structure (PBE).

Output
- Raw total energy: -86.90 eV per cell
- Symmetry: R-3 (148)
- Crystal system: trigonal

Cell lengths 8.749, 8.749, 8.749 Å; angles 99.66, 99.66, 99.66 degrees
Site moments in Bohr magnetons follow the coordinates.
Fractional positions:
Pb  0.347  0.692  0.880  -0.01
Pb  0.692  0.880  0.347  -0.01
Pb  0.120  0.653  0.308  -0.01
Pb  0.308  0.120  0.653  -0.01
Pb  0.653  0.308  0.120  -0.01
Pb  0.880  0.347  0.692  -0.01
Pm  0.938  0.002  0.691  0.26
Pm  0.062  0.998  0.309  0.26
Pm  0.455  0.806  0.580  0.03
Pm  0.309  0.062  0.998  0.26
Pm  0.420  0.545  0.194  0.03
Pm  0.545  0.194  0.420  0.03
Pm  0.806  0.580  0.455  0.03
Pm  0.998  0.309  0.062  0.26
Pm  0.580  0.455  0.806  0.03
Pm  0.002  0.691  0.938  0.26
Pm  0.691  0.938  0.002  0.26
Pm  0.194  0.420  0.545  0.03
H  0.000  0.000  0.000  -0.01

Record 4
Entry from the Alexandria database: a geometry-optimized Pm3HPb2 structure (PBE).

Output
- Raw total energy: -55.75 eV per cell
- Symmetry: C2/c (15)
- Crystal system: monoclinic

Cell lengths 6.485, 8.901, 6.758 Å; angles 103.45, 118.67, 90.00 degrees
Fractional positions:
Pm  0.344  0.250  0.000
Pm  0.734  0.346  0.711
Pm  0.023  0.154  0.289
Pm  0.656  0.750  0.000
Pm  0.266  0.654  0.289
Pm  0.977  0.846  0.711
H  0.996  0.750  0.000
H  0.004  0.250  0.000
Pb  0.229  0.494  0.711
Pb  0.771  0.506  0.289
Pb  0.482  0.994  0.711
Pb  0.518  0.006  0.289

Record 5
Entry from the Alexandria database: a geometry-optimized Pm2HPb structure (PBE).

Output
- Excess energy over the best structure of this formula in the dataset: 0.0 kJ per mole of atoms
- Symmetry: P4/nmm (129)
- Crystal system: tetragonal

Cell lengths 4.659, 4.659, 8.884 Å; angles 90.01, 90.01, 90.00 degrees
Fractional positions:
H  0.750  0.750  0.582
H  0.250  0.250  0.418
Pm  0.750  0.750  0.851
Pm  0.250  0.250  0.149
Pm  0.750  0.250  0.500
Pm  0.250  0.750  0.500
Pb  0.250  0.250  0.783
Pb  0.750  0.750  0.217

Record 6
Entry from the Alexandria database: a geometry-optimized Pm4HPb5 structure (PBE).

Output
- Raw total energy: -43.26 eV per cell
- Symmetry: C2/m (12)
- Crystal system: monoclinic

Cell lengths 3.681, 8.318, 9.793 Å; angles 80.69, 100.83, 90.00 degrees
Fractional positions:
Pm  0.637  0.104  0.274
Pm  0.962  0.196  0.923
Pm  0.363  0.896  0.726
Pm  0.038  0.804  0.077
H  0.500  0.000  0.000
Pb  0.849  0.564  0.698
Pb  0.500  0.500  0.000
Pb  0.151  0.436  0.302
Pb  0.209  0.778  0.417
Pb  0.791  0.222  0.583

Record 7
Entry from the Alexandria database: a geometry-optimized Pm2HPb structure (PBE).

Output
- Excess energy over the best structure of this formula in the dataset: 14.8 kJ per mole of atoms
- Symmetry: Pmn2_1 (31)
- Crystal system: orthorhombic

Cell lengths 3.735, 8.314, 6.642 Å; angles 90.00, 90.00, 90.00 degrees
Fractional positions:
Pm  0.000  0.040  0.284
Pm  0.000  0.633  0.520
Pm  0.500  0.960  0.784
Pm  0.500  0.367  0.020
H  0.500  0.093  0.092
H  0.000  0.907  0.592
Pb  0.000  0.694  0.026
Pb  0.500  0.306  0.526

Record 8
Entry from the Alexandria database: a geometry-optimized Pm2HPb structure (PBE).

Output
- Excess energy over the best structure of this formula in the dataset: 44.0 kJ per mole of atoms
- Symmetry: P4/mmm (123)
- Crystal system: tetragonal

Cell lengths 3.454, 3.454, 7.870 Å; angles 90.00, 90.00, 90.00 degrees
Fractional positions:
Pm  0.000  0.000  0.788
Pm  0.000  0.000  0.212
Pb  0.500  0.500  0.500
H  0.500  0.500  0.000